1.
! ScCo2Os, relaxed, DFT GGA-PBE; values from VASP
! Volume ... 14.1 Å³ per atom
! Space-group type ... F-43m, No. 216
! Spin magnetization ... 1.046 μB/atom
! Energy relative to the elements ... 0.10 eV/atom
&SYSTEM
  ibrav = 0, nat = 4, ntyp = 3
/
ATOMIC_SPECIES
Co 58.93 Co.upf
Os 190.23 Os.upf
Sc 44.96 Sc.upf
ATOMIC_POSITIONS crystal
Co 0.000 0.000 0.000
Co 0.250 0.250 0.250
Os 0.500 0.500 0.500
Sc 0.750 0.750 0.750
CELL_PARAMETERS angstrom
4.307 0.000 0.000
2.153 3.730 0.000
2.153 1.243 3.516

***

2.
! ScCo2Os, relaxed, DFT GGA-PBE; values from VASP
! Volume ... 14.1 Å³ per atom
! Space-group type ... P4mm, No. 99
! Spin magnetization ... 0.828 μB/atom
! Energy relative to the elements ... 0.05 eV/atom
&SYSTEM
  ibrav = 0, nat = 4, ntyp = 3
/
ATOMIC_SPECIES
Co 58.93 Co.upf
Os 190.23 Os.upf
Sc 44.96 Sc.upf
ATOMIC_POSITIONS crystal
Co 0.000 0.000 0.035
Co 0.500 0.500 0.239
Os 0.000 0.000 0.467
Sc 0.500 0.500 0.759
CELL_PARAMETERS angstrom
-1.991 1.989 -1.217
1.214 -0.481 -2.774
-3.893 -4.463 -0.929

***

3.
! ScCoOs, relaxed, DFT GGA-PBE; values from VASP
! Volume ... 15.2 Å³ per atom
! Space-group type ... Imma, No. 74
! Spin magnetization ... 0.174 μB/atom
! Energy relative to the elements ... -0.38 eV/atom
&SYSTEM
  ibrav = 0, nat = 6, ntyp = 3
/
ATOMIC_SPECIES
Sc 44.96 Sc.upf
Co 58.93 Co.upf
Os 190.23 Os.upf
ATOMIC_POSITIONS crystal
Sc 0.876 0.374 0.374
Sc 0.124 0.626 0.626
Co 0.500 0.500 0.000
Co 0.500 0.000 0.500
Os 0.000 0.000 0.000
Os 0.500 0.000 0.000
CELL_PARAMETERS angstrom
4.386 0.000 2.462
1.509 4.167 2.449
0.042 0.157 5.061

***

4.
! Sc2CoOs, relaxed, DFT GGA-PBE; values from VASP
! Volume ... 16.0 Å³ per atom
! Space-group type ... P4/mmm, No. 123
! Spin magnetization ... 0.000 μB/atom
! Energy relative to the elements ... -0.36 eV/atom
&SYSTEM
  ibrav = 0, nat = 4, ntyp = 3
/
ATOMIC_SPECIES
Sc 44.96 Sc.upf
Co 58.93 Co.upf
Os 190.23 Os.upf
ATOMIC_POSITIONS crystal
Sc 0.000 0.000 0.247
Sc 0.000 0.000 0.753
Co 0.500 0.500 0.000
Os 0.500 0.500 0.500
CELL_PARAMETERS angstrom
3.178 0.154 0.000
-0.154 3.178 0.000
0.000 0.000 6.322

***

Distance to the lowest polymorph of the same formula: 0.175 0.117 0.000 0.005 (eV/atom)
Electronic total energy: -7.840 -7.898 -8.601 -8.112 (eV/atom)